DFT (PBE) results for SrPrSn2 after structural relaxation.

Cell lengths 3.617, 3.617, 9.375 Å; angles 90.00, 90.00, 90.00 degrees
Atoms (fractional coordinates):
Sr 0.500 0.500 0.500
Pr 0.500 0.500 0.000
Sn 0.000 0.000 0.243
Sn 0.000 0.000 0.757

## Properties
Calculated total energy in eV/cell: -17.0


DFT (PBE) results for Ho3GaNi3 after structural relaxation.

Cell lengths 5.361, 8.188, 8.188 Å; angles 120.00, 90.00, 90.00 degrees
Atoms (fractional coordinates):
Ga 0.250 0.667 0.333
Ga 0.750 0.333 0.667
Ho 0.250 0.042 0.711
Ho 0.750 0.331 0.042
Ho 0.250 0.669 0.958
Ho 0.250 0.289 0.331
Ho 0.750 0.711 0.669
Ho 0.750 0.958 0.289
Ni 0.250 0.380 0.045
Ni 0.750 0.620 0.955
Ni 0.250 0.955 0.335
Ni 0.750 0.335 0.380
Ni 0.750 0.045 0.665
Ni 0.250 0.665 0.620

## Properties
Calculated total energy in eV/cell: -71.3


DFT (PBE) results for Th2CoRu after structural relaxation.

Cell lengths 3.942, 6.045, 7.683 Å; angles 108.35, 90.00, 90.00 degrees
Atoms (fractional coordinates):
Co 0.250 0.309 0.701
Co 0.750 0.691 0.299
Ru 0.250 0.320 0.205
Ru 0.750 0.680 0.795
Th 0.250 0.772 0.072
Th 0.750 0.228 0.928
Th 0.750 0.229 0.436
Th 0.250 0.771 0.564

## Properties
Calculated total energy in eV/cell: -66.0


DFT (PBE) results for MnHg2Sb after structural relaxation.

Cell lengths 5.091, 5.091, 5.091 Å; angles 60.00, 60.00, 60.00 degrees
Atoms (fractional coordinates):
Hg 0.750 0.750 0.750
Hg 0.000 0.000 0.000
Mn 0.500 0.500 0.500
Sb 0.250 0.250 0.250

## Properties
Formation energy from raw total energies in eV per atom: 0.37


DFT (PBE) results for GaPO2 after structural relaxation.

Cell lengths 6.319, 6.319, 6.319 Å; angles 26.84, 26.84, 26.84 degrees
Atoms (fractional coordinates):
O 0.891 0.891 0.891
O 0.109 0.109 0.109
P 0.000 0.000 0.000
Ga 0.500 0.500 0.500

## Properties
Formation energy from raw total energies in eV per atom: -1.12


DFT (PBE) results for KPCl after structural relaxation.

Cell lengths 7.637, 7.637, 7.637 Å; angles 146.38, 146.38, 48.28 degrees
Atoms (fractional coordinates):
Cl 0.907 0.907 0.000
P 0.678 0.678 0.000
K 0.415 0.415 0.000

## Properties
Formation energy from raw total energies in eV per atom: -0.05


DFT (PBE) results for Li2HfPd9 after structural relaxation.

Cell lengths 3.977, 3.977, 11.589 Å; angles 90.00, 90.00, 90.00 degrees
Atoms (fractional coordinates):
Li 0.000 0.000 0.662
Li 0.000 0.000 0.338
Pd 0.500 0.000 0.500
Pd 0.000 0.500 0.171
Pd 0.500 0.500 0.663
Pd 0.500 0.000 0.171
Pd 0.000 0.500 0.829
Pd 0.500 0.500 0.000
Pd 0.000 0.500 0.500
Pd 0.500 0.500 0.337
Pd 0.500 0.000 0.829
Hf 0.000 0.000 0.000

## Properties
Calculated total energy in eV/cell: -66.1


DFT (PBE) results for EuZnGa2 after structural relaxation.

Cell lengths 4.313, 4.313, 6.016 Å; angles 68.99, 68.99, 60.00 degrees
Atoms (fractional coordinates):
Ga 0.716 0.716 0.851
Ga 0.284 0.284 0.149
Zn 0.000 0.000 0.000
Eu 0.500 0.500 0.500

## Properties
Calculated total energy in eV/cell: -19.1


DFT (PBE) results for TlCdSi after structural relaxation.

Cell lengths 3.225, 3.225, 7.795 Å; angles 90.00, 90.00, 120.00 degrees
Atoms (fractional coordinates):
Si 0.667 0.333 0.319
Cd 0.000 0.000 0.026
Tl 0.333 0.667 0.655

## Properties
Formation energy from raw total energies in eV per atom: 0.41


DFT (PBE) results for PSeIO after structural relaxation.

Cell lengths 3.992, 4.360, 7.269 Å; angles 82.41, 79.65, 88.72 degrees
Atoms (fractional coordinates):
I 0.786 0.703 0.541
Se 0.970 0.868 0.190
P 0.523 0.504 0.122
O 0.574 0.510 0.912

## Properties
Formation energy from raw total energies in eV per atom: -0.45


DFT (PBE) results for ZrBeHg2 after structural relaxation.

Cell lengths 4.119, 3.160, 6.084 Å; angles 74.86, 90.00, 90.00 degrees
Atoms (fractional coordinates):
Hg 0.000 0.822 0.981
Hg 0.500 0.182 0.262
Zr 0.000 0.544 0.538
Be 0.500 0.952 0.720

## Properties
Calculated total energy in eV/cell: -12.5


| no. | total magnetic moment (μB/atom) |
| --- | --- |
| 1 | 0.0000 |
| 2 | 0.0000 |
| 3 | 0.0000 |
| 4 | 1.0193 |
| 5 | 0.0000 |
| 6 | 1.0000 |
| 7 | 0.0001 |
| 8 | 1.7454 |
| 9 | 0.0000 |
| 10 | 0.0000 |
| 11 | 0.0000 |